Density functional theory data (PBE) for an optimized crystal structure of Er11In9Pd4.

Calculated values
DFT formation energy, eV per formula unit: -16.173
DFT total energy, eV per atom: -4.66
Density of states at the Fermi level, states/eV/atom: 0.6067

Cell lengths 14.556, 21.905, 3.639 Å; angles 90.00, 90.00, 90.00 degrees
Space group Cmmm (No. 65)
Symmetry-distinct sites (fractional):
Er 0.000 0.000 0.000 [2 per cell]
Er 0.000 0.160 0.000 [4 per cell]
Er 0.000 0.372 0.000 [4 per cell]
Er 0.192 0.500 0.000 [4 per cell]
Er 0.243 0.171 0.000 [8 per cell]
In 0.000 0.500 0.500 [2 per cell]
In 0.106 0.262 0.500 [8 per cell]
In 0.144 0.072 0.500 [8 per cell]
Pd 0.152 0.399 0.500 [8 per cell]